The following is a GGA-PBEsol calculation of a relaxed structure of LiYHg2, from Alexandria.

Properties
- energy of formation from the pure elements (meV per atom) = -467.5
- symmetry = No. 216
- relative energy among the computed polymorphs (kJ per mole of atoms) = 6.96
- raw total energy (eV for the cell shown) = -11.79

Cell lengths 4.8553, 4.8553, 4.8553 Å; angles 60.00, 60.00, 60.00 degrees
Atoms (fractional coordinates):
Hg: 0.7500 0.7500 0.7500
Hg: 0.0000 0.0000 0.0000
Y: 0.2500 0.2500 0.2500
Li: 0.5000 0.5000 0.5000